Crystalline Pu2AlB2Ru5 at its relaxed geometry. Source: the Alexandria database, functional PBE-GGA.

a b c (Å): 9.5917 9.5917 3.0915
angles (deg): 90.00 90.00 90.00
Closest atoms and distances in Å follow each position.
Space group P4/mbm (No. 127)
Symmetry-distinct sites (fractional):
1 Pu 0.1762 0.3238 0.0000 x4  3 B 2.71-2.92, 10 Ru 2.85-3.00
2 Al 0.0000 0.0000 0.0000 x2  8 Ru 2.68
3 B 0.1236 0.6236 0.0000 x4  6 Ru 2.23-2.28
4 Ru 0.0000 0.5000 0.5000 x2  4 B 2.28
5 Ru 0.0701 0.7831 0.5000 x8  2 B 2.23

Calculated values
* density of states at the Fermi level: 34.9 states/eV per cell
* DFT formation energy: -4.27 eV/f.u.
* E: -9.64 eV per atom

Crystalline RbAlB3 at its relaxed geometry. Source: the Alexandria database, functional PBE-GGA.

a b c (Å): 4.4575 4.4575 4.4575
angles (deg): 90.00 90.00 90.00
Closest atoms and distances in Å follow each position.
Space group Pm-3m (No. 221)
Symmetry-distinct sites (fractional):
1 Rb 0.0000 0.0000 0.0000 x1  12 B 3.15
2 Al 0.5000 0.5000 0.5000 x1  6 B 2.23
3 B 0.0000 0.5000 0.5000 x3  2 Al 2.23

Calculated values
* density of states at the Fermi level: 3.4 states/eV per cell
* DFT formation energy: 8.41 eV/f.u.
* E: -3.27 eV per atom
* relative energy among the computed polymorphs: 0 meV/atom